No. 1
A plane-wave DFT calculation with PBE was carried out for crystalline Sc3Ni8Hg at its relaxed geometry.

## Properties
- Uncorrected energy: -5.90 eV/atom
- Spin magnetization: 0.00 μB per formula unit
- Calculated density: 8.094 Mg/m³

a = 4.8817 Å, b = 4.8817 Å, c = 24.0069 Å
α = 90.00°, β = 90.00°, γ = 120.00°
Space group R3m (No. 160, hexagonal axes)
One atom of each set of equivalent atoms:
Sc1 0.0000 0.0000 0.0000 [3 per cell]
Sc2 0.0000 0.0000 0.1281 [3 per cell]
Sc3 0.0000 0.0000 0.6191 [3 per cell]
Ni1 0.0000 0.0000 0.3117 [3 per cell]
Ni2 0.0000 0.0000 0.8112 [3 per cell]
Ni3 0.0033 0.5017 0.5632 [9 per cell]
Ni4 0.1674 0.3347 0.3931 [9 per cell]
Hg1 0.0000 0.0000 0.4973 [3 per cell]


No. 2
A plane-wave DFT calculation with PBE was carried out for crystalline MnAl2HRu at its relaxed geometry.

## Properties
- Uncorrected energy: -6.17 eV/atom
- Spin magnetization: 2.20 μB per formula unit
- Calculated density: 6.294 Mg/m³

a = 4.162 Å, b = 4.162 Å, c = 3.213 Å
α = 90.00°, β = 90.00°, γ = 90.00°
Space group P4/mmm (No. 123)
One atom of each set of equivalent atoms:
Mn1 0.000 0.000 0.000 [1 per cell]
Al1 0.000 0.500 0.500 [2 per cell]
H1 0.000 0.000 0.500 [1 per cell]
Ru1 0.500 0.500 0.000 [1 per cell]


No. 3
A plane-wave DFT calculation with PBE was carried out for crystalline TaBe8Cr3 at its relaxed geometry.

## Properties
- Uncorrected energy: -6.10 eV/atom
- Spin magnetization: 0.31 μB per formula unit
- Calculated density: 5.900 Mg/m³

a = 4.3296 Å, b = 4.3296 Å, c = 7.0916 Å
α = 90.00°, β = 90.00°, γ = 120.00°
Space group P3m1 (No. 156)
One atom of each set of equivalent atoms:
Ta1 0.0000 0.0000 0.0000 [1 per cell]
Be1 0.1639 0.3277 0.6812 [3 per cell]
Be2 0.3333 0.6667 0.4386 [1 per cell]
Be3 0.3333 0.6667 0.9331 [1 per cell]
Be4 0.5031 0.0063 0.1949 [3 per cell]
Cr1 0.0000 0.0000 0.3780 [1 per cell]
Cr2 0.6667 0.3333 0.5036 [1 per cell]
Cr3 0.6667 0.3333 0.8623 [1 per cell]